1.
{
  "formula": "BeTl2Pt",
  "functional": "PBE",
  "state": "optimized geometry",
  "cell": [[-3.038, 3.038, 5.962], [3.038, -3.038, 5.962], [3.038, 3.038, -5.962]],
  "species": ["Be", "Be", "Tl", "Tl", "Tl", "Tl", "Pt", "Pt"],
  "frac_coords": [[0.000, 0.000, 0.000], [0.750, 0.250, 0.500], [0.097, 0.625, 0.972], [0.375, 0.347, 0.472], [0.653, 0.125, 0.028], [0.875, 0.903, 0.528], [0.250, 0.750, 0.500], [0.500, 0.500, 0.000]],
  "delta_e_f_kj_per_mol_atoms": 66.6,
  "space_group": "I-42d (122)",
  "dos_at_fermi_per_ev_cell": 3.75,
  "final_energy_ev_per_atom": -2.935
}

2.
{
  "formula": "Ac3TlHg",
  "functional": "PBE",
  "state": "optimized geometry",
  "cell": [[8.059, -4.063, 0.000], [8.059, 4.063, 0.000], [-4.033, 0.000, 12.662]],
  "species": ["Ac", "Ac", "Ac", "Ac", "Ac", "Ac", "Ac", "Ac", "Ac", "Ac", "Ac", "Ac", "Tl", "Tl", "Tl", "Tl", "Hg", "Hg", "Hg", "Hg"],
  "frac_coords": [[0.062, 0.229, 0.775], [0.192, 0.713, 0.978], [0.229, 0.062, 0.275], [0.243, 0.416, 0.636], [0.287, 0.808, 0.522], [0.416, 0.243, 0.136], [0.584, 0.757, 0.864], [0.713, 0.192, 0.478], [0.757, 0.584, 0.364], [0.771, 0.938, 0.725], [0.808, 0.287, 0.022], [0.938, 0.771, 0.225], [0.240, 0.451, 0.385], [0.451, 0.240, 0.885], [0.549, 0.760, 0.115], [0.760, 0.549, 0.615], [0.000, 0.500, 0.000], [0.190, 0.810, 0.750], [0.500, 0.000, 0.500], [0.810, 0.190, 0.250]],
  "delta_e_f_kj_per_mol_atoms": -14.0,
  "space_group": "C2/c (15)",
  "dos_at_fermi_per_ev_cell": 28.19,
  "final_energy_ev_per_atom": -3.143
}

3.
{
  "formula": "Rb2PuCuSe4",
  "functional": "PBE",
  "state": "optimized geometry",
  "cell": [[5.737, -5.863, 0.000], [5.737, 5.863, 0.000], [-3.445, 0.000, 7.684]],
  "species": ["Rb", "Rb", "Rb", "Rb", "Pu", "Pu", "Cu", "Cu", "Se", "Se", "Se", "Se", "Se", "Se", "Se", "Se"],
  "frac_coords": [[0.000, 0.000, 0.000], [0.000, 0.000, 0.500], [0.000, 0.500, 0.000], [0.500, 0.000, 0.500], [0.500, 0.500, 0.000], [0.500, 0.500, 0.500], [0.000, 0.500, 0.500], [0.500, 0.000, 0.000], [0.199, 0.661, 0.425], [0.266, 0.365, 0.649], [0.339, 0.801, 0.075], [0.365, 0.266, 0.149], [0.635, 0.734, 0.851], [0.661, 0.199, 0.925], [0.734, 0.635, 0.351], [0.801, 0.339, 0.575]],
  "space_group": "C2/c (15)",
  "dos_at_fermi_per_ev_cell": 23.48,
  "formation_energy_uncorrected_ev_per_atom": -0.85,
  "final_energy_ev_per_atom": -5.136
}

4.
{
  "formula": "Rb2AgAu2",
  "functional": "PBE",
  "state": "optimized geometry",
  "cell": [[7.527, 0.000, 0.000], [0.000, 7.527, 0.000], [0.000, 0.000, 5.393]],
  "species": ["Rb", "Rb", "Rb", "Rb", "Ag", "Ag", "Au", "Au", "Au", "Au"],
  "frac_coords": [[0.173, 0.327, 0.000], [0.327, 0.827, 0.000], [0.673, 0.173, 0.000], [0.827, 0.673, 0.000], [0.000, 0.000, 0.500], [0.500, 0.500, 0.500], [0.136, 0.636, 0.500], [0.364, 0.136, 0.500], [0.636, 0.864, 0.500], [0.864, 0.364, 0.500]],
  "delta_e_f_kj_per_mol_atoms": -8.4,
  "space_group": "P4/mbm (127)",
  "dos_at_fermi_per_ev_cell": 3.47,
  "final_energy_ev_per_atom": -2.355
}

5.
{
  "formula": "Li2RePBr",
  "functional": "PBE",
  "state": "optimized geometry",
  "cell": [[4.953, 0.000, 0.000], [0.000, 4.953, 0.000], [0.000, 0.000, 4.518]],
  "species": ["Li", "Li", "Re", "P", "Br"],
  "frac_coords": [[0.000, 0.500, 0.000], [0.500, 0.000, 0.000], [0.000, 0.000, 0.500], [0.000, 0.000, 0.000], [0.500, 0.500, 0.500]],
  "space_group": "P4/mmm (123)",
  "dos_at_fermi_per_ev_cell": 2.39,
  "formation_energy_uncorrected_ev_per_atom": 0.12,
  "final_energy_ev_per_atom": -4.547
}

6.
{
  "formula": "CuW5",
  "functional": "PBE",
  "state": "optimized geometry",
  "cell": [[0.000, 3.688, 3.688], [3.688, 0.000, 3.688], [3.688, 3.688, 0.000]],
  "species": ["Cu", "W", "W", "W", "W", "W"],
  "frac_coords": [[0.000, 0.000, 0.000], [0.374, 0.374, 0.374], [0.374, 0.374, 0.877], [0.374, 0.877, 0.374], [0.750, 0.750, 0.750], [0.877, 0.374, 0.374]],
  "delta_e_f_kj_per_mol_atoms": 55.1,
  "space_group": "F-43m (216)",
  "dos_at_fermi_per_ev_cell": 6.80,
  "final_energy_ev_per_atom": -10.906
}

7.
{
  "formula": "ThNi5P3",
  "functional": "PBE",
  "state": "optimized geometry",
  "cell": [[1.813, -5.852, 0.000], [1.813, 5.852, 0.000], [0.000, 0.000, 11.407]],
  "species": ["Th", "Th", "Ni", "Ni", "Ni", "Ni", "Ni", "Ni", "Ni", "Ni", "Ni", "Ni", "P", "P", "P", "P", "P", "P"],
  "frac_coords": [[0.156, 0.844, 0.750], [0.844, 0.156, 0.250], [0.000, 0.000, 0.000], [0.000, 0.000, 0.500], [0.200, 0.800, 0.068], [0.200, 0.800, 0.432], [0.444, 0.556, 0.645], [0.444, 0.556, 0.855], [0.556, 0.444, 0.145], [0.556, 0.444, 0.355], [0.800, 0.200, 0.568], [0.800, 0.200, 0.932], [0.119, 0.881, 0.250], [0.383, 0.617, 0.043], [0.383, 0.617, 0.457], [0.617, 0.383, 0.543], [0.617, 0.383, 0.957], [0.881, 0.119, 0.750]],
  "delta_e_f_kj_per_mol_atoms": -77.2,
  "space_group": "Cmcm (63)",
  "dos_at_fermi_per_ev_cell": 10.24,
  "final_energy_ev_per_atom": -6.640
}

8.
{
  "formula": "CuBi3W",
  "functional": "PBE",
  "state": "optimized geometry",
  "cell": [[5.386, 0.000, 0.000], [0.000, 5.386, 0.000], [0.000, 0.000, 5.386]],
  "species": ["Cu", "Bi", "Bi", "Bi", "W"],
  "frac_coords": [[0.000, 0.000, 0.000], [0.000, 0.500, 0.500], [0.500, 0.000, 0.500], [0.500, 0.500, 0.000], [0.500, 0.500, 0.500]],
  "delta_e_f_kj_per_mol_atoms": 99.6,
  "space_group": "Pm-3m (221)",
  "dos_at_fermi_per_ev_cell": 5.05,
  "final_energy_ev_per_atom": -4.706
}

9.
{
  "formula": "Er6ScRu5",
  "functional": "PBE",
  "state": "optimized geometry",
  "cell": [[-2.403, 3.470, 7.252], [2.403, -3.470, 7.252], [2.403, 3.470, -7.252]],
  "species": ["Er", "Er", "Er", "Er", "Er", "Er", "Sc", "Ru", "Ru", "Ru", "Ru", "Ru"],
  "frac_coords": [[0.064, 0.326, 0.739], [0.228, 0.000, 0.228], [0.413, 0.674, 0.739], [0.587, 0.326, 0.261], [0.772, 0.000, 0.772], [0.936, 0.674, 0.261], [0.500, 0.500, 0.000], [0.000, 0.500, 0.500], [0.168, 0.168, 0.000], [0.346, 0.846, 0.500], [0.654, 0.154, 0.500], [0.832, 0.832, 0.000]],
  "delta_e_f_kj_per_mol_atoms": -32.6,
  "space_group": "Immm (71)",
  "dos_at_fermi_per_ev_cell": 8.42,
  "final_energy_ev_per_atom": -7.012
}

10.
{
  "formula": "Co2CuGeH",
  "functional": "PBE",
  "state": "optimized geometry",
  "cell": [[3.702, 0.000, 0.000], [0.000, 3.702, 0.000], [0.000, 0.000, 3.531]],
  "species": ["Co", "Co", "Cu", "Ge", "H"],
  "frac_coords": [[0.000, 0.500, 0.000], [0.500, 0.000, 0.000], [0.000, 0.000, 0.500], [0.500, 0.500, 0.500], [0.000, 0.000, 0.000]],
  "space_group": "P4/mmm (123)",
  "dos_at_fermi_per_ev_cell": 2.58,
  "final_energy_ev_per_atom": -5.288
}

11.
{
  "formula": "Sm2CdRu",
  "functional": "PBE",
  "state": "optimized geometry",
  "cell": [[1.964, 1.134, 8.333], [-1.964, 1.134, 8.333], [0.000, -2.268, 8.333]],
  "species": ["Sm", "Sm", "Cd", "Ru"],
  "frac_coords": [[0.232, 0.232, 0.232], [0.768, 0.768, 0.768], [0.000, 0.000, 0.000], [0.500, 0.500, 0.500]],
  "delta_e_f_kj_per_mol_atoms": -12.4,
  "space_group": "R-3m (166)",
  "dos_at_fermi_per_ev_cell": 2.68,
  "final_energy_ev_per_atom": -5.036
}

12.
{
  "formula": "AcTmOsAu",
  "functional": "PBE",
  "state": "optimized geometry",
  "cell": [[0.000, 3.628, 3.628], [3.628, 0.000, 3.628], [3.628, 3.628, 0.000]],
  "species": ["Ac", "Tm", "Os", "Au"],
  "frac_coords": [[0.000, 0.000, 0.000], [0.500, 0.500, 0.500], [0.250, 0.250, 0.250], [0.750, 0.750, 0.750]],
  "delta_e_f_kj_per_mol_atoms": -25.9,
  "space_group": "F-43m (216)",
  "dos_at_fermi_per_ev_cell": 3.24,
  "final_energy_ev_per_atom": -6.040
}

13.
{
  "formula": "YHfGa2",
  "functional": "PBE",
  "state": "optimized geometry",
  "cell": [[0.000, 3.460, 3.460], [3.460, 0.000, 3.460], [3.460, 3.460, 0.000]],
  "species": ["Y", "Hf", "Ga", "Ga"],
  "frac_coords": [[0.000, 0.000, 0.000], [0.500, 0.500, 0.500], [0.250, 0.250, 0.250], [0.750, 0.750, 0.750]],
  "delta_e_f_kj_per_mol_atoms": -36.5,
  "space_group": "Fm-3m (225)",
  "dos_at_fermi_per_ev_cell": 4.23,
  "final_energy_ev_per_atom": -5.996
}

14.
{
  "formula": "HfPS2N",
  "functional": "PBE",
  "state": "optimized geometry",
  "cell": [[4.903, 0.000, 0.000], [0.000, 4.903, 0.000], [0.000, 0.000, 5.186]],
  "species": ["Hf", "P", "S", "S", "N"],
  "frac_coords": [[0.000, 0.000, 0.000], [0.000, 0.000, 0.500], [0.000, 0.500, 0.000], [0.500, 0.000, 0.000], [0.500, 0.500, 0.500]],
  "space_group": "P4/mmm (123)",
  "dos_at_fermi_per_ev_cell": 2.07,
  "formation_energy_uncorrected_ev_per_atom": 0.85,
  "final_energy_ev_per_atom": -5.538
}

15.
{
  "formula": "K2PmTc2N4",
  "functional": "PBE",
  "state": "optimized geometry",
  "cell": [[6.458, -1.764, 0.000], [6.458, 1.764, 0.000], [-6.125, 0.000, 7.080]],
  "species": ["K", "K", "Pm", "Tc", "Tc", "N", "N", "N", "N"],
  "frac_coords": [[0.153, 0.153, 0.251], [0.847, 0.847, 0.749], [0.000, 0.000, 0.500], [0.348, 0.348, 0.127], [0.652, 0.652, 0.873], [0.213, 0.213, 0.833], [0.468, 0.468, 0.654], [0.532, 0.532, 0.346], [0.787, 0.787, 0.167]],
  "space_group": "C2/m (12)",
  "dos_at_fermi_per_ev_cell": 3.38,
  "formation_energy_uncorrected_ev_per_atom": -0.38,
  "final_energy_ev_per_atom": -7.153
}

16.
{
  "formula": "HAu2F2",
  "functional": "PBE",
  "state": "optimized geometry",
  "cell": [[-2.634, 2.634, 2.773], [2.634, -2.634, 2.773], [2.634, 2.634, -2.773]],
  "species": ["H", "Au", "Au", "F", "F"],
  "frac_coords": [[0.000, 0.000, 0.000], [0.250, 0.750, 0.500], [0.750, 0.250, 0.500], [0.208, 0.208, 0.000], [0.792, 0.792, 0.000]],
  "space_group": "I4/mmm (139)",
  "dos_at_fermi_per_ev_cell": 1.31,
  "final_energy_ev_per_atom": -3.182
}

17.
{
  "formula": "Sm8TcNi2",
  "functional": "PBE",
  "state": "optimized geometry",
  "cell": [[4.100, -6.503, 0.000], [4.100, 6.503, 0.000], [-1.966, 0.000, 5.626]],
  "species": ["Sm", "Sm", "Sm", "Sm", "Sm", "Sm", "Sm", "Sm", "Tc", "Ni", "Ni"],
  "frac_coords": [[0.000, 0.000, 0.000], [0.021, 0.273, 0.569], [0.143, 0.566, 0.170], [0.273, 0.021, 0.569], [0.443, 0.694, 0.760], [0.566, 0.143, 0.170], [0.694, 0.443, 0.760], [0.724, 0.724, 0.350], [0.369, 0.369, 0.260], [0.061, 0.662, 0.674], [0.662, 0.061, 0.674]],
  "delta_e_f_kj_per_mol_atoms": -2.6,
  "space_group": "Cm (8)",
  "dos_at_fermi_per_ev_cell": 10.84,
  "final_energy_ev_per_atom": -5.453
}

18.
{
  "formula": "RbAlTc3",
  "functional": "PBE",
  "state": "optimized geometry",
  "cell": [[4.675, 0.000, 0.000], [0.000, 4.675, 0.000], [0.000, 0.000, 4.675]],
  "species": ["Rb", "Al", "Tc", "Tc", "Tc"],
  "frac_coords": [[0.000, 0.000, 0.000], [0.500, 0.500, 0.500], [0.000, 0.000, 0.500], [0.000, 0.500, 0.000], [0.500, 0.000, 0.000]],
  "delta_e_f_kj_per_mol_atoms": 302.7,
  "space_group": "Pm-3m (221)",
  "dos_at_fermi_per_ev_cell": 7.01,
  "final_energy_ev_per_atom": -4.024
}

19.
{
  "formula": "Zr2Be3Ge",
  "functional": "PBE",
  "state": "optimized geometry",
  "cell": [[0.000, 3.818, 6.607], [3.433, 0.000, 6.607], [3.433, 3.818, 0.000]],
  "species": ["Zr", "Zr", "Zr", "Zr", "Be", "Be", "Be", "Be", "Be", "Be", "Ge", "Ge"],
  "frac_coords": [[0.247, 0.753, 0.753], [0.250, 0.250, 0.250], [0.750, 0.750, 0.750], [0.753, 0.247, 0.247], [0.161, 0.676, 0.324], [0.162, 0.162, 0.838], [0.324, 0.839, 0.161], [0.676, 0.161, 0.839], [0.838, 0.838, 0.162], [0.839, 0.324, 0.676], [0.333, 0.333, 0.667], [0.667, 0.667, 0.333]],
  "delta_e_f_kj_per_mol_atoms": -42.5,
  "space_group": "Fmmm (69)",
  "dos_at_fermi_per_ev_cell": 5.03,
  "final_energy_ev_per_atom": -5.923
}

20.
{
  "formula": "NbTlBi2O6",
  "functional": "PBE",
  "state": "optimized geometry",
  "cell": [[3.009, 1.737, 5.371], [-3.009, 1.737, 5.371], [0.000, -3.475, 5.371]],
  "species": ["Nb", "Tl", "Bi", "Bi", "O", "O", "O", "O", "O", "O"],
  "frac_coords": [[0.000, 0.000, 0.000], [0.471, 0.471, 0.471], [0.203, 0.203, 0.203], [0.702, 0.702, 0.702], [0.024, 0.386, 0.881], [0.231, 0.955, 0.657], [0.386, 0.881, 0.024], [0.657, 0.231, 0.955], [0.881, 0.024, 0.386], [0.955, 0.657, 0.231]],
  "space_group": "R3 (146)",
  "dos_at_fermi_per_ev_cell": 0.00,
  "formation_energy_uncorrected_ev_per_atom": -1.59,
  "final_energy_ev_per_atom": -6.588
}